Compound: Sn4IrS2
Source: Alexandria
Functional: PBE
Structure: relaxed

```
Sn4IrS2
1.0
5.0667 -5.2934 0.0000
5.0667 5.2934 0.0000
-3.9986 0.0000 6.5204
Sn Ir S
8 2 4
Direct
0.0437 0.9563 0.5000
0.1831 0.5719 0.9716
0.4032 0.9601 0.9056
0.5719 0.1831 0.4716
0.6043 0.6964 0.2833
0.6964 0.6043 0.7833
0.9563 0.0437 0.0000
0.9601 0.4032 0.4056
0.0191 0.7499 0.7173
0.7499 0.0191 0.2173
0.2660 0.3011 0.2902
0.3011 0.2660 0.7902
0.4195 0.8889 0.5205
0.8889 0.4195 0.0205
```

Space group: Cc
E in eV per formula unit: -34.73
N(E_F) in states/eV per atom: 0.2933
Formation energy without anion corrections in eV per atom: -0.228
Crystal system: monoclinic


Compound: Mg3ZnSn
Source: Alexandria
Functional: PBE
Structure: relaxed

```
Mg3ZnSn
1.0
3.0710 0.0000 0.0000
0.0000 7.6849 0.0000
0.0000 0.0000 9.3957
Mg Zn Sn
6 2 2
Direct
0.0000 0.0671 0.0000
0.0000 0.3007 0.3005
0.0000 0.3008 0.6985
0.0000 0.6992 0.1985
0.0000 0.6993 0.8005
0.0000 0.9329 0.5000
0.5000 0.9998 0.2499
0.5000 0.0002 0.7499
0.5000 0.4400 0.9994
0.5000 0.5600 0.4994
```

Space group: Pmc2_1
E in eV per formula unit: -10.30
Formation energy in meV/atom: -49
N(E_F) in states/eV per atom: 0.3742
Energy above the lowest structure with this stoichiometry in meV per atom: 3.7
Crystal system: orthorhombic


Compound: Mn2Co
Source: Alexandria
Functional: PBE
Structure: relaxed

```
Mn2Co
1.0
1.7481 -5.3688 0.0000
1.7481 5.3688 0.0000
0.0000 0.0000 3.5710
Mn Co
4 2
Direct
0.0882 0.9118 0.7500
0.2498 0.7502 0.2500
0.7502 0.2498 0.7500
0.9118 0.0882 0.2500
0.4148 0.5852 0.7500
0.5852 0.4148 0.2500
```

Space group: Cmcm
E in eV per formula unit: -25.35
Formation energy in meV/atom: 32
N(E_F) in states/eV per atom: 1.1666
Crystal system: orthorhombic


Compound: NiTeRu2
Source: Alexandria
Functional: PBE
Structure: relaxed

```
NiTeRu2
1.0
2.6794 -4.5255 0.0000
2.6794 4.5255 0.0000
-1.4985 0.0000 2.5600
Ni Te Ru
1 1 2
Direct
0.0000 0.0000 0.0000
0.5000 0.5000 0.0000
0.0000 0.5000 0.5000
0.5000 0.0000 0.5000
```

Space group: C2/m
E in eV per formula unit: -25.42
N(E_F) in states/eV per atom: 1.4273
Formation energy without anion corrections in eV per atom: 0.513
Crystal system: monoclinic